1.
The following is a PBE calculation of InPN2 after structural relaxation, from Alexandria via LeMat-Bulk.

Calculated values
Theoretical density (g/cm³): 5.53
Energy relative to the elements, uncorrected (eV/atom): 0.0057
Energy above the lowest structure with this stoichiometry (eV per atom): 0.000

Unit cell a=5.2948 b=5.2948 c=7.4522 alpha=90.00 beta=90.00 gamma=90.00
Element x y z (fractional)
In  0.0000  0.0000  0.0000
In  0.0000  0.5000  0.2500
In  0.5000  0.0000  0.7500
In  0.5000  0.5000  0.5000
P  0.0000  0.0000  0.5000
P  0.0000  0.5000  0.7500
P  0.5000  0.0000  0.2500
P  0.5000  0.5000  0.0000
N  0.0479  0.2500  0.6250
N  0.2500  0.5479  0.8750
N  0.2500  0.9521  0.3750
N  0.4521  0.2500  0.1250
N  0.5479  0.7500  0.1250
N  0.7500  0.0479  0.3750
N  0.7500  0.4521  0.8750
N  0.9521  0.7500  0.6250



2.
The following is a PBE calculation of In2PN after structural relaxation, from Alexandria via LeMat-Bulk.

Calculated values
Theoretical density (g/cm³): 6.63
Energy relative to the elements, uncorrected (eV/atom): 0.9723
Energy above the lowest structure with this stoichiometry (eV per atom): 0.956

Unit cell a=6.5042 b=6.5042 c=6.5042 alpha=90.00 beta=90.00 gamma=90.00
Element x y z (fractional)
In  0.2500  0.2500  0.2500
In  0.2500  0.2500  0.7500
In  0.2500  0.7500  0.2500
In  0.2500  0.7500  0.7500
In  0.7500  0.2500  0.2500
In  0.7500  0.2500  0.7500
In  0.7500  0.7500  0.2500
In  0.7500  0.7500  0.7500
P  0.0000  0.0000  0.0000
P  0.0000  0.5000  0.5000
P  0.5000  0.0000  0.5000
P  0.5000  0.5000  0.0000
N  0.0000  0.0000  0.5000
N  0.0000  0.5000  0.0000
N  0.5000  0.0000  0.0000
N  0.5000  0.5000  0.5000



3.
The following is a PBE calculation of InP2N after structural relaxation, from Alexandria via LeMat-Bulk.

Calculated values
Theoretical density (g/cm³): 4.61
Energy relative to the elements, uncorrected (eV/atom): 0.6179
Energy above the lowest structure with this stoichiometry (eV per atom): 0.000

Unit cell a=4.7606 b=4.7606 c=12.1310 alpha=90.00 beta=90.00 gamma=90.00
Element x y z (fractional)
In  0.0000  0.0000  0.0000
In  0.0000  0.5000  0.2500
In  0.5000  0.0000  0.7500
In  0.5000  0.5000  0.5000
P  0.0765  0.2500  0.6250
P  0.2500  0.5765  0.8750
P  0.2500  0.9235  0.3750
P  0.4235  0.2500  0.1250
P  0.5765  0.7500  0.1250
P  0.7500  0.0765  0.3750
P  0.7500  0.4235  0.8750
P  0.9235  0.7500  0.6250
N  0.0000  0.0000  0.5000
N  0.0000  0.5000  0.7500
N  0.5000  0.0000  0.2500
N  0.5000  0.5000  0.0000



4.
The following is a PBE calculation of InPN2 after structural relaxation, from Alexandria via LeMat-Bulk.

Calculated values
Theoretical density (g/cm³): 6.17
Energy relative to the elements, uncorrected (eV/atom): 1.5254
Energy above the lowest structure with this stoichiometry (eV per atom): 1.520

Unit cell a=5.7200 b=5.7200 c=5.7200 alpha=90.00 beta=90.00 gamma=90.00
Element x y z (fractional)
In  0.0000  0.0000  0.0000
In  0.0000  0.5000  0.5000
In  0.5000  0.0000  0.5000
In  0.5000  0.5000  0.0000
P  0.0000  0.0000  0.5000
P  0.0000  0.5000  0.0000
P  0.5000  0.0000  0.0000
P  0.5000  0.5000  0.5000
N  0.2500  0.2500  0.2500
N  0.2500  0.2500  0.7500
N  0.2500  0.7500  0.2500
N  0.2500  0.7500  0.7500
N  0.7500  0.2500  0.2500
N  0.7500  0.2500  0.7500
N  0.7500  0.7500  0.2500
N  0.7500  0.7500  0.7500



5.
The following is a PBE calculation of InP3N after structural relaxation, from Alexandria via LeMat-Bulk.

Calculated values
Theoretical density (g/cm³): 4.89
Energy relative to the elements, uncorrected (eV/atom): 0.8645
Energy above the lowest structure with this stoichiometry (eV per atom): 0.000

Unit cell a=4.2224 b=4.2224 c=4.2224 alpha=90.00 beta=90.00 gamma=90.00
Element x y z (fractional)
In  0.0000  0.0000  0.0000
P  0.0000  0.5000  0.5000
P  0.5000  0.0000  0.5000
P  0.5000  0.5000  0.0000
N  0.5000  0.5000  0.5000



6.
The following is a PBE calculation of InP3N after structural relaxation, from Alexandria via LeMat-Bulk.

Calculated values
Theoretical density (g/cm³): 2.76
Energy relative to the elements, uncorrected (eV/atom): 2.2846
Energy above the lowest structure with this stoichiometry (eV per atom): 1.420

Unit cell a=5.1108 b=5.1108 c=5.1108 alpha=90.00 beta=90.00 gamma=90.00
Element x y z (fractional)
In  0.0000  0.0000  0.0000
P  0.0000  0.0000  0.5000
P  0.0000  0.5000  0.0000
P  0.5000  0.0000  0.0000
N  0.5000  0.5000  0.5000



7.
The following is a PBE calculation of In2PN after structural relaxation, from Alexandria via LeMat-Bulk.

Calculated values
Theoretical density (g/cm³): 5.52
Energy relative to the elements, uncorrected (eV/atom): 0.0161
Energy above the lowest structure with this stoichiometry (eV per atom): 0.000

Unit cell a=5.5329 b=5.5329 c=10.8029 alpha=90.00 beta=90.00 gamma=90.00
Element x y z (fractional)
In  0.1967  0.2500  0.1250
In  0.2500  0.6967  0.3750
In  0.2500  0.8033  0.8750
In  0.3033  0.2500  0.6250
In  0.6967  0.7500  0.6250
In  0.7500  0.1967  0.8750
In  0.7500  0.3033  0.3750
In  0.8033  0.7500  0.1250
P  0.0000  0.0000  0.5000
P  0.0000  0.5000  0.7500
P  0.5000  0.0000  0.2500
P  0.5000  0.5000  0.0000
N  0.0000  0.0000  0.0000
N  0.0000  0.5000  0.2500
N  0.5000  0.0000  0.7500
N  0.5000  0.5000  0.5000



8.
The following is a PBE calculation of Pa3InP4N12 after structural relaxation, from Alexandria via LeMat-Bulk.

Calculated values
Theoretical density (g/cm³): 5.75
Energy relative to the elements, uncorrected (eV/atom): -0.6723

Unit cell a=7.0112 b=7.0112 c=7.0112 alpha=102.06 beta=102.06 gamma=102.06
Element x y z (fractional)
Pa  0.0000  0.5484  0.4516
Pa  0.4516  0.0000  0.5484
Pa  0.5484  0.4516  0.0000
In  0.0000  0.0000  0.0000
P  0.0489  0.5000  0.9511
P  0.5000  0.5000  0.5000
P  0.5000  0.9511  0.0489
P  0.9511  0.0489  0.5000
N  0.0076  0.5984  0.7699
N  0.0977  0.9023  0.5000
N  0.2301  0.4016  0.9924
N  0.3545  0.6455  0.5000
N  0.4016  0.9924  0.2301
N  0.5000  0.0977  0.9023
N  0.5000  0.3545  0.6455
N  0.5984  0.7699  0.0076
N  0.6455  0.5000  0.3545
N  0.7699  0.0076  0.5984
N  0.9023  0.5000  0.0977
N  0.9924  0.2301  0.4016